The following is a DFT calculation (GGA-PBE) of an optimized crystal structure of CsGdB4.

Computed properties:
Calculated total energy, eV/atom: -5.19
M_tot, μB/f.u.: 0.00
Crystal system: hexagonal

a = 3.2905 Å, b = 3.2905 Å, c = 9.4461 Å
α = 90.00°, β = 90.00°, γ = 120.00°
Space group P6/mmm (No. 191)
Asymmetric unit:
Cs (0.0000, 0.0000, 0.0000)
Gd (0.0000, 0.0000, 0.5000)
B (0.3333, 0.6667, 0.2974)

The following is a DFT calculation (GGA-PBE) of an optimized crystal structure of CsGdB.

Computed properties:
Calculated total energy, eV/atom: -2.18
M_tot, μB/f.u.: 0.01
Crystal system: cubic

a = 6.9096 Å, b = 6.9096 Å, c = 6.9096 Å
α = 90.00°, β = 90.00°, γ = 90.00°
Space group F-43m (No. 216)
Asymmetric unit:
Cs (0.0000, 0.0000, 0.0000)
Gd (0.2500, 0.2500, 0.7500)
B (0.2500, 0.2500, 0.2500)

| no. | calculated density (Mg/m³) |
| --- | --- |
| 1 | 6.25 |
| 2 | 6.06 |